[1]
A plane-wave DFT calculation with PBE-GGA was carried out for an optimized crystal structure of Mn3Bi3N5.

Cell: 5.6248 7.4967 8.5707 Å, 105.17 97.46 96.18°
Space group P-1 (No. 2)
Symmetry-distinct sites (fractional):
Mn (0.0648, 0.1824, 0.0279) [2 per cell]
Mn (0.0714, 0.4247, 0.7221) [2 per cell]
Mn (0.3236, 0.5116, 0.4031) [2 per cell]
Bi (0.2468, 0.0359, 0.4473) [2 per cell]
Bi (0.4525, 0.8225, 0.8002) [2 per cell]
Bi (0.4970, 0.6874, 0.1311) [2 per cell]
N (0.0790, 0.2958, 0.8764) [2 per cell]
N (0.0851, 0.3663, 0.2245) [2 per cell]
N (0.1836, 0.7162, 0.4205) [2 per cell]
N (0.2248, 0.9711, 0.9949) [2 per cell]
N (0.3388, 0.4513, 0.5973) [2 per cell]

## Properties
* formation energy (no corrections): 0.236 eV per atom
* crystal system: triclinic

***

[2]
A plane-wave DFT calculation with PBE-GGA was carried out for an optimized crystal structure of BeAlH2.

Cell: 3.7688 4.1620 5.6657 Å, 102.87 102.05 93.78°
Space group P1 (No. 1)
Symmetry-distinct sites (fractional):
Be (0.0000, 0.0000, 0.0000) [1 per cell]
Be (0.4121, 0.9250, 0.7066) [1 per cell]
Al (0.0534, 0.5684, 0.2363) [1 per cell]
Al (0.5771, 0.0742, 0.2872) [1 per cell]
H (0.1728, 0.6289, 0.5562) [1 per cell]
H (0.1955, 0.1400, 0.8407) [1 per cell]
H (0.5655, 0.1710, 0.5982) [1 per cell]
H (0.6958, 0.7682, 0.8405) [1 per cell]

## Properties
* ΔE to the lowest computed polymorph: 0.035 eV per atom
* crystal system: triclinic

***

[3]
A plane-wave DFT calculation with PBE-GGA was carried out for an optimized crystal structure of ReSb2Pb.

Cell: 6.4361 8.0991 3.5311 Å, 90.00 90.53 90.00°
Space group C2/m (No. 12)
Symmetry-distinct sites (fractional):
Re (0.0000, 0.0000, 0.0000) [2 per cell]
Sb (0.2500, 0.2500, 0.5000) [4 per cell]
Pb (0.0000, 0.5000, 0.0000) [2 per cell]

## Properties
* formation energy (no corrections): 0.916 eV per atom
* crystal system: monoclinic

***

[4]
A plane-wave DFT calculation with PBE-GGA was carried out for an optimized crystal structure of Na2RhF8.

Cell: 15.4327 3.6011 5.0892 Å, 90.00 105.73 90.00°
Space group C2/m (No. 12)
Symmetry-distinct sites (fractional):
Na (0.1669, 0.0000, 0.1617) [4 per cell]
Rh (0.0000, 0.5000, 0.5000) [2 per cell]
F (0.0176, 0.0000, 0.3038) [4 per cell]
F (0.0807, 0.5000, 0.8714) [4 per cell]
F (0.1205, 0.5000, 0.4364) [4 per cell]
F (0.2335, 0.0000, 0.8078) [4 per cell]

## Properties
* ΔE to the lowest computed polymorph: 0.197 eV per atom
* formation energy (no corrections): -1.579 eV per atom
* crystal system: monoclinic

***

[5]
A plane-wave DFT calculation with PBE-GGA was carried out for an optimized crystal structure of AcPr2PN5.

Cell: 6.9130 6.9130 11.0046 Å, 90.00 90.00 90.00°
Space group I4/mcm (No. 140)
Symmetry-distinct sites (fractional):
Ac (0.0000, 0.0000, 0.2500) [4 per cell]
Pr (0.1808, 0.3192, 0.0000) [8 per cell]
P (0.0000, 0.5000, 0.2500) [4 per cell]
N (0.0000, 0.0000, 0.0000) [4 per cell]
N (0.1312, 0.3688, 0.3458) [16 per cell]

## Properties
* formation energy (no corrections): -1.129 eV per atom
* crystal system: tetragonal

***

[6]
A plane-wave DFT calculation with PBE-GGA was carried out for an optimized crystal structure of RbZn3Ag2.

Cell: 11.1168 8.6263 5.7682 Å, 90.00 90.00 90.00°
Space group Cmcm (No. 63)
Symmetry-distinct sites (fractional):
Rb (0.0000, 0.1506, 0.2500) [4 per cell]
Zn (0.0000, 0.4158, 0.7500) [4 per cell]
Zn (0.2011, 0.2322, 0.7500) [8 per cell]
Ag (0.1992, 0.5000, 0.0000) [8 per cell]

## Properties
* formation enthalpy at 0 K: 0.0031 eV/atom
* crystal system: orthorhombic

***

[7]
A plane-wave DFT calculation with PBE-GGA was carried out for an optimized crystal structure of PrMgZrSc.

Cell: 7.4515 7.4515 7.4515 Å, 90.00 90.00 90.00°
Space group F-43m (No. 216)
Symmetry-distinct sites (fractional):
Pr (0.0000, 0.0000, 0.0000) [4 per cell]
Mg (0.2500, 0.2500, 0.2500) [4 per cell]
Zr (0.0000, 0.0000, 0.5000) [4 per cell]
Sc (0.2500, 0.2500, 0.7500) [4 per cell]

## Properties
* formation enthalpy at 0 K: 0.1279 eV/atom
* crystal system: cubic

***

[8]
A plane-wave DFT calculation with PBE-GGA was carried out for an optimized crystal structure of Li3Cu5H12.

Cell: 10.7256 10.7256 10.7256 Å, 90.00 90.00 90.00°
Space group Ia-3d (No. 230)
Symmetry-distinct sites (fractional):
Li (0.0000, 0.2500, 0.1250) [24 per cell]
Cu (0.0000, 0.0000, 0.0000) [16 per cell]
Cu (0.0000, 0.2500, 0.3750) [24 per cell]
H (0.0221, 0.0516, 0.6491) [96 per cell]

## Properties
* crystal system: cubic
* E: -3.2726 eV per atom

***

Number 1: Fermi-level density of states 11.7 states/eV/cell, density 8.37 g cm⁻³. Number 2: Fermi-level density of states 1.1 states/eV/cell, density 1.50 g cm⁻³. Number 3: Fermi-level density of states 7.4 states/eV/cell, density 11.49 g cm⁻³. Number 4: Fermi-level density of states 16.4 states/eV/cell, density 3.67 g cm⁻³. Number 5: Fermi-level density of states 23.1 states/eV/cell, density 7.70 g cm⁻³. Number 6: Fermi-level density of states 10.3 states/eV/cell, density 5.97 g cm⁻³. Number 7: Fermi-level density of states 23.2 states/eV/cell, density 4.84 g cm⁻³. Number 8: Fermi-level density of states 44.7 states/eV/cell, density 3.78 g cm⁻³.